1.
# NaS2N2 (PBE, optimized geometry)
# - Formation energy without anion corrections: 2.54 eV/atom
# - Energy relative to the lowest polymorph listed for this composition: 2.795 eV per atom
# - Calculated volume: 31.028 Å³ per atom
data_NaS2N2
_cell_length_a 5.4604
_cell_length_b 5.4604
_cell_length_c 5.2032
_cell_angle_alpha 90.00
_cell_angle_beta 90.00
_cell_angle_gamma 90.00
_space_group_name_H-M_alt 'P 4/m m m'
_space_group_IT_number 123
_space_group_name_Hall '-P 4 2'
loop_
_atom_site_label
_atom_site_fract_x
_atom_site_fract_y
_atom_site_fract_z
_atom_site_occupancy
Na1 0.0000 0.0000 0.0000 1
S1 0.0000 0.5000 0.0000 1
N1 0.0000 0.0000 0.5000 1
N2 0.5000 0.5000 0.5000 1

***

2.
# TmCdPt3 (PBE, optimized geometry)
# - Calculated volume: 20.343 Å³ per atom
# - DFT total energy: -5.16 eV per atom
data_TmCdPt3
_cell_length_a 6.6152
_cell_length_b 6.6152
_cell_length_c 5.3677
_cell_angle_alpha 90.00
_cell_angle_beta 90.00
_cell_angle_gamma 120.00
_space_group_name_H-M_alt 'P 63/m m c'
_space_group_IT_number 194
_space_group_name_Hall '-P 6c 2c'
loop_
_atom_site_label
_atom_site_fract_x
_atom_site_fract_y
_atom_site_fract_z
_atom_site_occupancy
Tm1 0.3333 0.6667 0.2500 1
Cd1 0.0000 0.0000 0.0000 1
Pt1 0.2021 0.4041 0.7500 1

***

3.
# SmB2Ir3 (PBE, optimized geometry)
# - Calculated volume: 13.815 Å³ per atom
# - DFT total energy: -8.10 eV per atom
data_SmB2Ir3
_cell_length_a 5.5211
_cell_length_b 5.5211
_cell_length_c 3.1400
_cell_angle_alpha 90.00
_cell_angle_beta 90.00
_cell_angle_gamma 120.00
_space_group_name_H-M_alt 'P 6/m m m'
_space_group_IT_number 191
_space_group_name_Hall '-P 6 2'
loop_
_atom_site_label
_atom_site_fract_x
_atom_site_fract_y
_atom_site_fract_z
_atom_site_occupancy
Sm1 0.0000 0.0000 0.0000 1
B1 0.3333 0.6667 0.0000 1
Ir1 0.0000 0.5000 0.5000 1

***

4.
# V8GaMo2 (PBE, optimized geometry)
# - Calculated volume: 14.751 Å³ per atom
# - DFT total energy: -8.78 eV per atom
data_V8GaMo2
_cell_length_a 2.6697
_cell_length_b 7.2758
_cell_length_c 8.7148
_cell_angle_alpha 74.36
_cell_angle_beta 84.63
_cell_angle_gamma 89.72
_space_group_name_H-M_alt 'P 1'
_space_group_IT_number 1
loop_
_space_group_symop_operation_xyz
'x,y,z'
loop_
_atom_site_label
_atom_site_fract_x
_atom_site_fract_y
_atom_site_fract_z
_atom_site_occupancy
V1 0.0000 0.0000 0.0000 1
V2 0.0505 0.5954 0.7341 1
V3 0.1327 0.1543 0.4985 1
V4 0.2335 0.7603 0.2678 1
V5 0.3554 0.3400 0.0007 1
V6 0.4585 0.9164 0.7360 1
V7 0.5359 0.5050 0.4943 1
V8 0.9230 0.4300 0.2599 1
Ga1 0.6669 0.0891 0.2524 1
Mo1 0.6725 0.6723 0.9993 1
Mo2 0.7546 0.2514 0.7462 1

***

5.
# Ac5TlCo2 (PBE, optimized geometry)
# - Calculated volume: 31.897 Å³ per atom
# - DFT total energy: -4.73 eV per atom
data_Ac5TlCo2
_cell_length_a 8.2898
_cell_length_b 8.2898
_cell_length_c 14.8530
_cell_angle_alpha 90.00
_cell_angle_beta 90.00
_cell_angle_gamma 90.00
_space_group_name_H-M_alt 'I 4/m c m'
_space_group_IT_number 140
_space_group_name_Hall '-I 4 2c'
loop_
_atom_site_label
_atom_site_fract_x
_atom_site_fract_y
_atom_site_fract_z
_atom_site_occupancy
Ac1 0.0000 0.0000 0.0000 1
Ac2 0.1600 0.3400 0.1301 1
Tl1 0.0000 0.0000 0.2500 1
Co1 0.1404 0.3596 0.5000 1

***

6.
# BaAlIr2O8 (PBE, optimized geometry)
# - Formation energy without anion corrections: -1.22 eV/atom
# - Calculated volume: 15.112 Å³ per atom
data_BaAlIr2O8
_cell_length_a 5.2762
_cell_length_b 5.2762
_cell_length_c 7.5216
_cell_angle_alpha 90.00
_cell_angle_beta 90.00
_cell_angle_gamma 120.00
_space_group_name_H-M_alt 'P -3'
_space_group_IT_number 147
loop_
_space_group_symop_operation_xyz
'x,y,z'
'-x,-y,-z'
'-y,x-y,z'
'y,-x+y,-z'
'-x+y,-x,z'
'x-y,x,-z'
loop_
_atom_site_label
_atom_site_fract_x
_atom_site_fract_y
_atom_site_fract_z
_atom_site_occupancy
Ba1 0.0000 0.0000 0.0000 1
Al1 0.0000 0.0000 0.5000 1
Ir1 0.3333 0.6667 0.6890 1
O1 0.0191 0.2914 0.6582 1
O2 0.3333 0.6667 0.9367 1

***

7.
# ZnReP2S (PBE, optimized geometry)
# - Formation energy without anion corrections: 0.57 eV/atom
# - Energy relative to the lowest polymorph listed for this composition: 0.000 eV per atom
# - Calculated volume: 20.331 Å³ per atom
data_ZnReP2S
_cell_length_a 4.6464
_cell_length_b 4.6464
_cell_length_c 4.7086
_cell_angle_alpha 90.00
_cell_angle_beta 90.00
_cell_angle_gamma 90.00
_space_group_name_H-M_alt 'P 4/m m m'
_space_group_IT_number 123
_space_group_name_Hall '-P 4 2'
loop_
_atom_site_label
_atom_site_fract_x
_atom_site_fract_y
_atom_site_fract_z
_atom_site_occupancy
Zn1 0.0000 0.0000 0.0000 1
Re1 0.5000 0.5000 0.5000 1
P1 0.0000 0.5000 0.5000 1
S1 0.5000 0.5000 0.0000 1

***

8.
# CuHg2Te (PBE, optimized geometry)
# - Formation energy without anion corrections: 0.11 eV/atom
# - Calculated volume: 27.049 Å³ per atom
data_CuHg2Te
_cell_length_a 15.1984
_cell_length_b 3.8347
_cell_length_c 3.8326
_cell_angle_alpha 90.00
_cell_angle_beta 104.36
_cell_angle_gamma 90.00
_space_group_name_H-M_alt 'C 1 2/m 1'
_space_group_IT_number 12
loop_
_space_group_symop_operation_xyz
'x,y,z'
'-x,-y,-z'
'-x,y,-z'
'x,-y,z'
'x+1/2,y+1/2,z'
'-x+1/2,-y+1/2,-z'
'-x+1/2,y+1/2,-z'
'x+1/2,-y+1/2,z'
loop_
_atom_site_label
_atom_site_fract_x
_atom_site_fract_y
_atom_site_fract_z
_atom_site_occupancy
Cu1 0.0000 0.0000 0.0000 1
Hg1 0.2070 0.5000 0.7077 1
Te1 0.0000 0.5000 0.5000 1

***

9.
# Tm3Te2P (PBE, optimized geometry)
# - Formation energy without anion corrections: -1.40 eV/atom
# - Energy relative to the lowest polymorph listed for this composition: 0.000 eV per atom
# - Calculated volume: 25.992 Å³ per atom
data_Tm3Te2P
_cell_length_a 7.2024
_cell_length_b 12.4451
_cell_length_c 7.3617
_cell_angle_alpha 90.00
_cell_angle_beta 109.03
_cell_angle_gamma 90.00
_space_group_name_H-M_alt 'C 1 2/m 1'
_space_group_IT_number 12
loop_
_space_group_symop_operation_xyz
'x,y,z'
'-x,-y,-z'
'-x,y,-z'
'x,-y,z'
'x+1/2,y+1/2,z'
'-x+1/2,-y+1/2,-z'
'-x+1/2,y+1/2,-z'
'x+1/2,-y+1/2,z'
loop_
_atom_site_label
_atom_site_fract_x
_atom_site_fract_y
_atom_site_fract_z
_atom_site_occupancy
Tm1 0.2095 0.0000 0.2106 1
Tm2 0.2463 0.1800 0.7831 1
Te1 0.0000 0.0000 0.5000 1
Te2 0.0000 0.3421 0.5000 1
Te3 0.0000 0.5000 0.0000 1
P1 0.0000 0.1683 0.0000 1

***

10.
# CrHgMo2 (PBE, optimized geometry)
# - Calculated volume: 16.383 Å³ per atom
# - DFT total energy: -7.48 eV per atom
data_CrHgMo2
_cell_length_a 3.2700
_cell_length_b 3.2843
_cell_length_c 6.1017
_cell_angle_alpha 90.00
_cell_angle_beta 90.00
_cell_angle_gamma 90.00
_space_group_name_H-M_alt 'P m m m'
_space_group_IT_number 47
loop_
_space_group_symop_operation_xyz
'x,y,z'
'-x,-y,-z'
'-x,-y,z'
'x,y,-z'
'x,-y,-z'
'-x,y,z'
'-x,y,-z'
'x,-y,z'
loop_
_atom_site_label
_atom_site_fract_x
_atom_site_fract_y
_atom_site_fract_z
_atom_site_occupancy
Cr1 0.0000 0.0000 0.0000 1
Hg1 0.0000 0.0000 0.5000 1
Mo1 0.5000 0.5000 0.1983 1

***

11.
# LaTaTe2 (PBE, optimized geometry)
# - Formation energy without anion corrections: -0.47 eV/atom
# - Energy relative to the lowest polymorph listed for this composition: 0.062 eV per atom
# - Calculated volume: 24.657 Å³ per atom
data_LaTaTe2
_cell_length_a 7.3343
_cell_length_b 7.3343
_cell_length_c 7.3343
_cell_angle_alpha 90.00
_cell_angle_beta 90.00
_cell_angle_gamma 90.00
_space_group_name_H-M_alt 'F m -3 m'
_space_group_IT_number 225
_space_group_name_Hall '-F 4 2 3'
loop_
_atom_site_label
_atom_site_fract_x
_atom_site_fract_y
_atom_site_fract_z
_atom_site_occupancy
La1 0.0000 0.0000 0.0000 1
Ta1 0.0000 0.0000 0.5000 1
Te1 0.2500 0.2500 0.2500 1

***

12.
# Mg2BiBr (PBE, optimized geometry)
# - Formation energy without anion corrections: -0.52 eV/atom
# - Energy relative to the lowest polymorph listed for this composition: 0.122 eV per atom
# - Calculated volume: 34.948 Å³ per atom
data_Mg2BiBr
_cell_length_a 6.3940
_cell_length_b 6.3940
_cell_length_c 13.6775
_cell_angle_alpha 90.00
_cell_angle_beta 90.00
_cell_angle_gamma 90.00
_space_group_name_H-M_alt 'I -4 2 d'
_space_group_IT_number 122
_space_group_name_Hall 'I -4 2bw'
loop_
_atom_site_label
_atom_site_fract_x
_atom_site_fract_y
_atom_site_fract_z
_atom_site_occupancy
Mg1 0.2419 0.2500 0.1250 1
Bi1 0.0000 0.0000 0.0000 1
Br1 0.0000 0.0000 0.5000 1

***

13.
# Pr4PN7 (PBE, optimized geometry)
# - Formation energy without anion corrections: -0.84 eV/atom
# - Calculated volume: 17.218 Å³ per atom
data_Pr4PN7
_cell_length_a 3.9625
_cell_length_b 7.0755
_cell_length_c 8.2403
_cell_angle_alpha 69.44
_cell_angle_beta 89.53
_cell_angle_gamma 73.74
_space_group_name_H-M_alt 'P 1'
_space_group_IT_number 1
loop_
_space_group_symop_operation_xyz
'x,y,z'
loop_
_atom_site_label
_atom_site_fract_x
_atom_site_fract_y
_atom_site_fract_z
_atom_site_occupancy
Pr1 0.0000 0.0000 0.0000 1
Pr2 0.0222 0.8973 0.4467 1
Pr3 0.2755 0.4421 0.1210 1
Pr4 0.7941 0.4191 0.4981 1
P1 0.4741 0.8391 0.7549 1
N1 0.1037 0.0230 0.6954 1
N2 0.1493 0.3480 0.8091 1
N3 0.1851 0.6047 0.3401 1
N4 0.4347 0.2399 0.8876 1
N5 0.6064 0.7401 0.6115 1
N6 0.6292 0.7534 0.9529 1
N7 0.8745 0.2535 0.2585 1

***

14.
# LiHoAg2 (PBE, optimized geometry)
# - Energy relative to the lowest polymorph listed for this composition: 0.058 eV per atom
# - Calculated volume: 21.101 Å³ per atom
data_LiHoAg2
_cell_length_a 4.9628
_cell_length_b 4.9628
_cell_length_c 3.4270
_cell_angle_alpha 90.00
_cell_angle_beta 90.00
_cell_angle_gamma 90.00
_space_group_name_H-M_alt 'P 4/m m m'
_space_group_IT_number 123
_space_group_name_Hall '-P 4 2'
loop_
_atom_site_label
_atom_site_fract_x
_atom_site_fract_y
_atom_site_fract_z
_atom_site_occupancy
Li1 0.0000 0.0000 0.0000 1
Ho1 0.5000 0.5000 0.0000 1
Ag1 0.0000 0.5000 0.5000 1